# 1
Density functional theory data (PBE) for a geometry-optimized Ce6In2Pt structure.

Cell and atoms, written as CIF:
```
data_Ce6In2Pt
_cell_length_a 5.9071
_cell_length_b 7.7881
_cell_length_c 11.5121
_cell_angle_alpha 90.00
_cell_angle_beta 117.47
_cell_angle_gamma 90.00
_space_group_name_H-M_alt 'P 1 21/c 1'
_space_group_IT_number 14
_space_group_name_Hall '-P 2ybc'
loop_
_atom_site_label
_atom_site_type_symbol
_atom_site_fract_x
_atom_site_fract_y
_atom_site_fract_z
_atom_site_occupancy
Ce1 Ce 0.0102 0.0957 0.2919 1
Ce2 Ce 0.1045 0.1933 0.0065 1
Ce3 Ce 0.2905 0.6369 0.9829 1
In1 In 0.4688 0.6000 0.7380 1
Pt1 Pt 0.5000 0.0000 0.0000 1
```

Formation energy from the elements ... -287 meV/atom
Raw total energy ... -49.706 eV per formula unit
N(E_F) ... 43.485 states/eV/cell
Offset from the most stable computed form ... 93 meV per atom

=====

# 2
Density functional theory data (PBE) for a geometry-optimized BiTeI2Cl structure.

Cell and atoms, written as CIF:
```
data_BiTeI2Cl
_cell_length_a 5.4626
_cell_length_b 5.4626
_cell_length_c 5.9235
_cell_angle_alpha 90.00
_cell_angle_beta 90.00
_cell_angle_gamma 90.00
_space_group_name_H-M_alt 'P 4/m m m'
_space_group_IT_number 123
_space_group_name_Hall '-P 4 2'
loop_
_atom_site_label
_atom_site_type_symbol
_atom_site_fract_x
_atom_site_fract_y
_atom_site_fract_z
_atom_site_occupancy
Bi1 Bi 0.0000 0.0000 0.0000 1
Te1 Te 0.5000 0.5000 0.0000 1
I1 I 0.0000 0.5000 0.5000 1
Cl1 Cl 0.5000 0.5000 0.5000 1
```

Raw total energy ... -9.264 eV per formula unit
N(E_F) ... 3.069 states/eV/cell
Formation energy without anion corrections ... 0.5411 eV per atom
Offset from the most stable computed form ... 339 meV per atom

=====

# 3
Density functional theory data (PBE) for a geometry-optimized MgNiAgRh structure.

Cell and atoms, written as CIF:
```
data_MgNiAgRh
_cell_length_a 6.1935
_cell_length_b 6.1935
_cell_length_c 6.1935
_cell_angle_alpha 90.00
_cell_angle_beta 90.00
_cell_angle_gamma 90.00
_space_group_name_H-M_alt 'F -4 3 m'
_space_group_IT_number 216
_space_group_name_Hall 'F -4 2 3'
loop_
_atom_site_label
_atom_site_type_symbol
_atom_site_fract_x
_atom_site_fract_y
_atom_site_fract_z
_atom_site_occupancy
Mg1 Mg 0.0000 0.0000 0.0000 1
Ni1 Ni 0.0000 0.0000 0.5000 1
Ag1 Ag 0.2500 0.2500 0.2500 1
Rh1 Rh 0.2500 0.2500 0.7500 1
```

Formation energy from the elements ... -57 meV/atom
Raw total energy ... -17.808 eV per formula unit
N(E_F) ... 25.970 states/eV/cell

=====

# 4
Density functional theory data (PBE) for a geometry-optimized Be2P structure.

Cell and atoms, written as CIF:
```
data_Be2P
_cell_length_a 5.7750
_cell_length_b 5.7750
_cell_length_c 3.3616
_cell_angle_alpha 90.00
_cell_angle_beta 90.00
_cell_angle_gamma 120.00
_space_group_name_H-M_alt 'P -6 2 m'
_space_group_IT_number 189
_space_group_name_Hall 'P -6 -2'
loop_
_atom_site_label
_atom_site_type_symbol
_atom_site_fract_x
_atom_site_fract_y
_atom_site_fract_z
_atom_site_occupancy
Be1 Be 0.0000 0.2719 0.0000 1
Be2 Be 0.0000 0.6089 0.5000 1
P1 P 0.0000 0.0000 0.5000 1
P2 P 0.3333 0.6667 0.0000 1
```

Formation energy from the elements ... 207 meV/atom
Raw total energy ... -12.241 eV per formula unit
N(E_F) ... 4.359 states/eV/cell
Offset from the most stable computed form ... 343 meV per atom

=====

# 5
Density functional theory data (PBE) for a geometry-optimized ZnCrSbRu structure.

Cell and atoms, written as CIF:
```
data_ZnCrSbRu
_cell_length_a 6.3056
_cell_length_b 6.3056
_cell_length_c 6.3056
_cell_angle_alpha 90.00
_cell_angle_beta 90.00
_cell_angle_gamma 90.00
_space_group_name_H-M_alt 'F -4 3 m'
_space_group_IT_number 216
_space_group_name_Hall 'F -4 2 3'
loop_
_atom_site_label
_atom_site_type_symbol
_atom_site_fract_x
_atom_site_fract_y
_atom_site_fract_z
_atom_site_occupancy
Zn1 Zn 0.0000 0.0000 0.0000 1
Cr1 Cr 0.2500 0.2500 0.7500 1
Sb1 Sb 0.0000 0.0000 0.5000 1
Ru1 Ru 0.2500 0.2500 0.2500 1
```

Raw total energy ... -24.030 eV per formula unit
N(E_F) ... 6.744 states/eV/cell
Formation energy without anion corrections ... 0.0665 eV per atom